# 1
Crystalline RbTiAl at its relaxed geometry, computed with PBE.

size of the total moment = 0.31 μB/f.u.
energy relative to the lowest polymorph listed for this composition = 12 meV per atom
formation energy from the elements = 0.4 eV/f.u.
E = -24.5 eV per cell

Cell and atoms, written as CIF:
```
data_RbTiAl
_cell_length_a 3.672
_cell_length_b 4.127
_cell_length_c 13.182
_cell_angle_alpha 89.96
_cell_angle_beta 82.89
_cell_angle_gamma 90.00
_symmetry_space_group_name_H-M 'P 1'
_symmetry_Int_Tables_number 1
_symmetry_space_group_name_Hall 'P 1'
loop_
_atom_site_label
_atom_site_type_symbol
_atom_site_fract_x
_atom_site_fract_y
_atom_site_fract_z
Rb1 Rb 0.000 0.000 0.000
Rb2 Rb 0.366 0.500 0.337
Ti1 Ti 0.255 0.997 0.590
Ti2 Ti 0.686 0.997 0.744
Al1 Al 0.186 0.497 0.746
Al2 Al 0.754 0.497 0.591
```

# 2
Crystalline RbTi3Al at its relaxed geometry, computed with PBE.

size of the total moment = 5.11 μB/f.u.
energy relative to the lowest polymorph listed for this composition = 0 meV per atom
formation energy from the elements = 5.7 eV/f.u.
E = -22.7 eV per cell

Cell and atoms, written as CIF:
```
data_RbTi3Al
_cell_length_a 5.128
_cell_length_b 5.128
_cell_length_c 5.128
_cell_angle_alpha 90.00
_cell_angle_beta 90.00
_cell_angle_gamma 90.00
_symmetry_space_group_name_H-M 'P m -3 m'
_symmetry_Int_Tables_number 221
_symmetry_space_group_name_Hall '-P 4 2 3'
loop_
_atom_site_label
_atom_site_type_symbol
_atom_site_fract_x
_atom_site_fract_y
_atom_site_fract_z
Rb1 Rb 0.000 0.000 0.000
Ti1 Ti 0.000 0.500 0.500
Al1 Al 0.500 0.500 0.500
```

# 3
Crystalline RbTiAl at its relaxed geometry, computed with PBE.

size of the total moment = 0.40 μB/f.u.
energy relative to the lowest polymorph listed for this composition = 296 meV per atom
formation energy from the elements = 1.2 eV/f.u.
E = -22.8 eV per cell

Cell and atoms, written as CIF:
```
data_RbTiAl
_cell_length_a 4.597
_cell_length_b 5.785
_cell_length_c 6.781
_cell_angle_alpha 86.13
_cell_angle_beta 89.05
_cell_angle_gamma 89.97
_symmetry_space_group_name_H-M 'P 1'
_symmetry_Int_Tables_number 1
_symmetry_space_group_name_Hall 'P 1'
loop_
_atom_site_label
_atom_site_type_symbol
_atom_site_fract_x
_atom_site_fract_y
_atom_site_fract_z
Rb1 Rb 0.000 0.000 0.000
Rb2 Rb 0.500 0.484 0.018
Ti1 Ti 0.006 0.827 0.509
Ti2 Ti 0.506 0.660 0.509
Al1 Al 0.006 0.370 0.505
Al2 Al 0.506 0.117 0.513
```